## CdSi2Pt7 (PBE)

Data for an optimized crystal structure of CdSi2Pt7.

Cell lengths 4.0250, 4.0250, 10.3434 Å; angles 101.22, 101.22, 90.00 degrees
Closest atoms and distances in Å follow each position.
Fractional positions:
Cd 0.0000 0.0000 0.0000  12 Pt 2.85-2.92
Si 0.6751 0.6751 0.3502  8 Pt 2.43-2.50
Pt 0.7500 0.2500 0.5000  4 Si 2.50
Pt 0.2500 0.7500 0.5000  4 Si 2.50
Pt 0.5000 0.5000 0.0000  4 Cd 2.85, 8 Pt 2.92
Pt 0.6062 0.1062 0.2125  2 Si 2.43
Pt 0.1062 0.6062 0.2125  2 Si 2.43
Si 0.3249 0.3249 0.6498  8 Pt 2.43-2.50
Pt 0.8938 0.3938 0.7875  2 Si 2.43
Pt 0.3938 0.8938 0.7875  2 Si 2.43

Properties
The density of states at the Fermi level comes out at 0.4497 states/eV/atom. The symmetry is I4/mmm (139).

***

## CaTc2Te (PBE)

Data for an optimized crystal structure of CaTc2Te.

Cell lengths 3.2119, 3.1454, 8.5133 Å; angles 79.35, 90.00, 90.00 degrees
Closest atoms and distances in Å follow each position.
Fractional positions:
Tc 0.0000 0.0401 0.0448  4 Tc 2.57
Te 0.0000 0.3243 0.4768  2 Tc 2.85, 2 Te 3.15
Ca 0.5000 0.6706 0.7835  5 Tc 3.14-3.44, 4 Ca 3.15-3.21, 4 Te 3.41
Tc 0.5000 0.4650 0.1949  4 Tc 2.57, 2 Te 2.85

Properties
The density of states at the Fermi level comes out at 0.9444 states/eV/atom. The symmetry is Amm2 (38).

***

Going through the records in order, we get uncorrected energy values of -5.9555, -6.3751 eV per atom.
Going through the records in order, we get spin magnetization values of 0.00, 0.00 μB per cell.
Going through the records in order, we get ΔE_f (raw) values of -0.551, 0.094 eV/atom.